No. 1
Entry from Alexandria: Rb3FeH after structural relaxation (PBE).

a b c (Å): 5.8511 5.8511 5.8511
angles (deg): 90.00 90.00 90.00
Closest atoms and distances in Å follow each position.
Fractional coordinates of all 5 atoms:
Rb1 0.0000 0.0000 0.5000  2 H 2.93
Rb2 0.0000 0.5000 0.0000  2 H 2.93
Rb3 0.5000 0.0000 0.0000  2 H 2.93
Fe1 0.5000 0.5000 0.5000  12 Rb 4.14
H1 0.0000 0.0000 0.0000  6 Rb 2.93

Computed properties:
* E above lowest polymorph: 0.00 eV/f.u.
* DOS at the Fermi energy: 5.279 states/eV/cell
* SG: Pm-3m, No. 221



No. 2
Entry from Alexandria: Zr2MnFe2 after structural relaxation (PBE).

a b c (Å): 6.2735 6.2735 4.0459
angles (deg): 90.00 90.00 90.00
Closest atoms and distances in Å follow each position.
Fractional coordinates of all 10 atoms:
Zr1 0.1852 0.3148 0.0000  6 Fe 2.66-2.82
Zr2 0.3148 0.8148 0.0000  6 Fe 2.66-2.82
Zr3 0.6852 0.1852 0.0000  6 Fe 2.66-2.82
Zr4 0.8148 0.6852 0.0000  6 Fe 2.66-2.82
Mn1 0.0000 0.0000 0.5000  4 Fe 2.50
Mn2 0.5000 0.5000 0.5000  4 Fe 2.50
Fe1 0.1208 0.6208 0.5000  1 Fe 2.14
Fe2 0.3792 0.1208 0.5000  1 Fe 2.14
Fe3 0.6208 0.8792 0.5000  1 Fe 2.14
Fe4 0.8792 0.3792 0.5000  1 Fe 2.14

Computed properties:
* DOS at the Fermi energy: 8.559 states/eV/cell
* SG: P4/mbm, No. 127
* ΔH_f (0 K): -0.042 eV/atom



no.,VASP energy (eV per atom),M_tot (μB per atom)
1,-2.3312,0.558
2,-8.6805,0.523